La3Cr2N6 | GGA-PBE | relaxed

Output
Uncorrected formation energy = -101.2 kJ per mole of atoms
DOS(E_F) = 6.3 states/eV/f.u.
Total magnetic moment = 2.00 μB per formula unit

a b c (Å): 3.8536 3.8536 10.3790
angles (deg): 100.70 100.70 90.00
Site moments in Bohr magnetons follow the coordinates.
Positions (direct):
Cr1 0.3986 0.3986 0.7963  0.92
Cr2 0.6014 0.6014 0.2037  0.92
N1 0.5868 0.0868 0.1739  -0.05
N2 0.0868 0.5868 0.1739  -0.05
N3 0.4132 0.9132 0.8261  -0.05
N4 0.9132 0.4132 0.8261  -0.05
N5 0.6934 0.6934 0.3870  0.02
N6 0.3066 0.3066 0.6130  0.02
La1 0.0000 0.0000 0.0000  0.01
La2 0.8211 0.8211 0.6416  0.05
La3 0.1789 0.1789 0.3584  0.05

Nd2Al3Zn9 | GGA-PBE | relaxed

Output
Energy relative to the elements = -0.268 eV/atom
DOS(E_F) = 4.0 states/eV/f.u.
Total magnetic moment = 0.00 μB per formula unit

a b c (Å): 7.8136 7.8136 9.3769
angles (deg): 90.00 90.00 119.31
Positions (direct):
Nd1 0.6739 0.0000 0.2500
Nd2 0.3261 0.0000 0.7500
Nd3 0.0000 0.6739 0.2500
Nd4 0.0000 0.3261 0.7500
Al1 0.0000 0.0000 0.0000
Al2 0.0000 0.0000 0.5000
Al3 0.3156 0.6844 0.0000
Al4 0.6844 0.3156 0.5000
Al5 0.6844 0.3156 0.0000
Al6 0.3156 0.6844 0.5000
Zn1 0.1432 0.1432 0.2500
Zn2 0.8568 0.8568 0.7500
Zn3 0.3407 0.3407 0.5598
Zn4 0.6593 0.6593 0.0598
Zn5 0.3407 0.3407 0.9402
Zn6 0.6593 0.6593 0.4402
Zn7 0.5427 0.3513 0.2500
Zn8 0.4573 0.6487 0.7500
Zn9 0.3513 0.5427 0.2500
Zn10 0.6487 0.4573 0.7500
Zn11 0.3397 0.0267 0.0883
Zn12 0.6603 0.9733 0.5883
Zn13 0.0267 0.3397 0.4117
Zn14 0.9733 0.6603 0.9117
Zn15 0.6603 0.9733 0.9117
Zn16 0.3397 0.0267 0.4117
Zn17 0.9733 0.6603 0.5883
Zn18 0.0267 0.3397 0.0883

ErTmAl6 | GGA-PBE | relaxed

Output
Energy relative to the elements = -0.403 eV/atom
DOS(E_F) = 3.2 states/eV/f.u.
Total magnetic moment = 0.00 μB per formula unit
Polymorph energy (0 for the lowest one) = 0.0000 eV/atom

a b c (Å): 4.7535 6.0904 6.0904
angles (deg): 119.99 90.00 90.00
Positions (direct):
Er1 0.5000 0.4166 0.5834
Tm1 0.0000 0.0833 0.9167
Al1 0.0000 0.0522 0.4012
Al2 0.0000 0.5988 0.9478
Al3 0.0000 0.5988 0.4012
Al4 0.5000 0.4468 0.0985
Al5 0.5000 0.9015 0.5532
Al6 0.5000 0.9015 0.0985

LaMgTa2 | GGA-PBE | relaxed

Output
Energy relative to the elements = 0.606 eV/atom
DOS(E_F) = 6.2 states/eV/f.u.
Total magnetic moment = 0.00 μB per formula unit

a b c (Å): 4.7172 4.3342 4.3342
angles (deg): 90.00 90.00 90.00
Positions (direct):
La1 0.5000 0.5000 0.0000
Mg1 0.5000 0.0000 0.5000
Ta1 0.0000 0.0000 0.0000
Ta2 0.0000 0.5000 0.5000

Tl2Cd9Hg3 | GGA-PBE | relaxed

Output
Energy relative to the elements = 0.021 eV/atom
DOS(E_F) = 4.6 states/eV/f.u.
Total magnetic moment = 0.00 μB per formula unit

a b c (Å): 8.7109 8.7109 10.7254
angles (deg): 90.00 90.00 119.50
Positions (direct):
Tl1 0.6743 0.9933 0.2500
Tl2 0.3257 0.0067 0.7500
Tl3 0.9933 0.6743 0.2500
Tl4 0.0067 0.3257 0.7500
Cd1 0.1384 0.1384 0.2500
Cd2 0.8616 0.8616 0.7500
Cd3 0.3298 0.3298 0.5716
Cd4 0.6702 0.6702 0.0716
Cd5 0.3298 0.3298 0.9284
Cd6 0.6702 0.6702 0.4284
Cd7 0.5443 0.3431 0.2500
Cd8 0.4557 0.6569 0.7500
Cd9 0.3431 0.5443 0.2500
Cd10 0.6569 0.4557 0.7500
Cd11 0.3380 0.9995 0.0887
Cd12 0.6620 0.0005 0.5887
Cd13 0.9995 0.3380 0.4113
Cd14 0.0005 0.6620 0.9113
Cd15 0.6620 0.0005 0.9113
Cd16 0.3380 0.9995 0.4113
Cd17 0.0005 0.6620 0.5887
Cd18 0.9995 0.3380 0.0887
Hg1 0.0000 0.0000 0.0000
Hg2 0.0000 0.0000 0.5000
Hg3 0.3257 0.6743 0.0000
Hg4 0.6743 0.3257 0.5000
Hg5 0.6743 0.3257 0.0000
Hg6 0.3257 0.6743 0.5000

DyEr5Tm2Th | GGA-PBE | relaxed

Output
Energy relative to the elements = 0.167 eV/atom
DOS(E_F) = 12.6 states/eV/f.u.
Total magnetic moment = 0.00 μB per formula unit

a b c (Å): 5.6355 11.0239 9.6018
angles (deg): 90.00 90.00 104.81
Positions (direct):
Dy1 0.8098 0.6195 0.5181
Dy2 0.1902 0.3805 0.0181
Er1 0.3978 0.7956 0.0409
Er2 0.7291 0.4583 0.8249
Er3 0.4688 0.9377 0.7416
Er4 0.3050 0.6099 0.7174
Er5 0.9859 0.9718 0.5191
Er6 0.6022 0.2044 0.5409
Er7 0.2709 0.5417 0.3249
Er8 0.5312 0.0623 0.2416
Er9 0.6950 0.3901 0.2174
Er10 0.0141 0.0282 0.0191
Tm1 0.8848 0.7696 0.8293
Tm2 0.1299 0.2598 0.7111
Tm3 0.1152 0.2304 0.3293
Tm4 0.8701 0.7402 0.2111
Th1 0.5946 0.1891 0.9216
Th2 0.4054 0.8109 0.4216

HfAg3C | GGA-PBE | relaxed

Output
Energy relative to the elements = 2.533 eV/atom
DOS(E_F) = 6.9 states/eV/f.u.
Total magnetic moment = 1.76 μB per formula unit
Polymorph energy (0 for the lowest one) = 1.5666 eV/atom

a b c (Å): 5.3247 5.3247 5.3247
angles (deg): 90.00 90.00 90.00
Site moments in Bohr magnetons follow the coordinates.
Positions (direct):
C1 0.5000 0.5000 0.5000  0.88
Hf1 0.0000 0.0000 0.0000  -0.03
Ag1 0.0000 0.5000 0.0000  -0.01
Ag2 0.0000 0.0000 0.5000  0.02
Ag3 0.5000 0.0000 0.0000  -0.03

Pu2Sn2H | GGA-PBE | relaxed

Output
DOS(E_F) = 9.7 states/eV/f.u.
E = -40.67 eV per formula unit
Total magnetic moment = 0.01 μB per formula unit

a b c (Å): 3.3977 7.6807 7.9974
angles (deg): 90.00 102.26 90.00
Site moments in Bohr magnetons follow the coordinates.
Positions (direct):
Pu1 0.4315 0.3613 0.8631  4.15
Pu2 0.8966 0.1309 0.7932  -4.12
Pu3 0.1034 0.6309 0.2068  -4.12
Pu4 0.5685 0.8613 0.1369  4.15
Sn1 0.9027 0.7151 0.8055  -0.02
Sn2 0.7515 0.4368 0.5029  -0.02
Sn3 0.2485 0.9368 0.4971  -0.02
Sn4 0.0973 0.2151 0.1945  -0.02
H1 0.4479 0.9902 0.8959  0.01
H2 0.5521 0.4902 0.1041  0.01

Please write out number 1 again, unchanged.
La3Cr2N6 | GGA-PBE | relaxed

Output
Uncorrected formation energy = -101.2 kJ per mole of atoms
DOS(E_F) = 6.3 states/eV/f.u.
Total magnetic moment = 2.00 μB per formula unit

a b c (Å): 3.8536 3.8536 10.3790
angles (deg): 100.70 100.70 90.00
Site moments in Bohr magnetons follow the coordinates.
Positions (direct):
Cr1 0.3986 0.3986 0.7963  0.92
Cr2 0.6014 0.6014 0.2037  0.92
N1 0.5868 0.0868 0.1739  -0.05
N2 0.0868 0.5868 0.1739  -0.05
N3 0.4132 0.9132 0.8261  -0.05
N4 0.9132 0.4132 0.8261  -0.05
N5 0.6934 0.6934 0.3870  0.02
N6 0.3066 0.3066 0.6130  0.02
La1 0.0000 0.0000 0.0000  0.01
La2 0.8211 0.8211 0.6416  0.05
La3 0.1789 0.1789 0.3584  0.05